# 1
Density functional theory data (GGA-PBE) for an optimized crystal structure of La2YTi2.

## Properties
E above lowest polymorph: 183 meV/atom
Density of states at the Fermi level: 8.20 states/eV/cell
Space group: I4/mmm
DFT total energy: -29.6 eV/f.u.
Energy relative to the elements: 498 meV/atom

Unit cell a=7.518 b=7.518 c=7.518 alpha=144.49 beta=144.49 gamma=51.09
Sites, in units of the cell vectors:
La 0.250 0.750 0.500
La 0.750 0.250 0.500
Y 0.000 0.000 0.000
Ti 0.419 0.419 0.000
Ti 0.581 0.581 0.000

***

# 2
Density functional theory data (GGA-PBE) for an optimized crystal structure of Rb2HgTeF.

## Properties
Density of states at the Fermi level: 1.60 states/eV/cell
Space group: P4/mmm
DFT total energy: -13.4 eV/f.u.
Formation energy (no corrections): -6.12 eV/f.u.

Unit cell a=5.314 b=5.314 c=5.819 alpha=90.00 beta=90.00 gamma=90.00
Sites, in units of the cell vectors:
Rb 0.000 0.500 0.000
Rb 0.500 0.000 0.000
Hg 0.000 0.000 0.500
Te 0.500 0.500 0.500
F 0.000 0.000 0.000

***

# 3
Density functional theory data (GGA-PBE) for an optimized crystal structure of Tl3BOs.

## Properties
E above lowest polymorph: 0 meV/atom
Density of states at the Fermi level: 5.88 states/eV/cell
Space group: Pm-3m
DFT total energy: -18.0 eV/f.u.
Energy relative to the elements: 1404 meV/atom

Unit cell a=5.299 b=5.299 c=5.299 alpha=90.00 beta=90.00 gamma=90.00
Sites, in units of the cell vectors:
Tl 0.000 0.000 0.500
Tl 0.000 0.500 0.000
Tl 0.500 0.000 0.000
B 0.500 0.500 0.500
Os 0.000 0.000 0.000

***

# 4
Density functional theory data (GGA-PBE) for an optimized crystal structure of Tm3GeSe.

## Properties
Density of states at the Fermi level: 12.79 states/eV/cell
Space group: C2/c
DFT total energy: -26.3 eV/f.u.
Formation energy (no corrections): -4.76 eV/f.u.

Unit cell a=8.657 b=8.657 c=7.137 alpha=90.93 beta=90.93 gamma=77.56
Sites, in units of the cell vectors:
Tm 0.047 0.161 0.082
Tm 0.153 0.629 0.563
Tm 0.161 0.047 0.582
Tm 0.262 0.495 0.067
Tm 0.371 0.847 0.937
Tm 0.495 0.262 0.567
Tm 0.505 0.738 0.433
Tm 0.629 0.153 0.063
Tm 0.738 0.505 0.933
Tm 0.839 0.953 0.418
Tm 0.847 0.371 0.437
Tm 0.953 0.839 0.918
Ge 0.166 0.834 0.250
Ge 0.444 0.556 0.750
Ge 0.556 0.444 0.250
Ge 0.834 0.166 0.750
Se 0.178 0.328 0.390
Se 0.328 0.178 0.890
Se 0.672 0.822 0.110
Se 0.822 0.672 0.610

***

# 5
Density functional theory data (GGA-PBE) for an optimized crystal structure of Pu2Si7Rh12.

## Properties
Density of states at the Fermi level: 34.38 states/eV/cell
Space group: P-3
DFT total energy: -172.8 eV/f.u.
Formation energy (no corrections): -17.96 eV/f.u.

Unit cell a=9.768 b=9.768 c=3.851 alpha=90.00 beta=90.00 gamma=120.00
Sites, in units of the cell vectors:
Pu 0.333 0.667 0.248
Pu 0.667 0.333 0.752
Si 0.000 0.000 0.000
Si 0.110 0.399 0.749
Si 0.290 0.890 0.749
Si 0.399 0.290 0.251
Si 0.601 0.710 0.749
Si 0.710 0.110 0.251
Si 0.890 0.601 0.251
Rh 0.063 0.619 0.748
Rh 0.119 0.858 0.246
Rh 0.142 0.262 0.246
Rh 0.262 0.119 0.754
Rh 0.381 0.444 0.748
Rh 0.444 0.063 0.252
Rh 0.556 0.937 0.748
Rh 0.619 0.556 0.252
Rh 0.738 0.881 0.246
Rh 0.858 0.738 0.754
Rh 0.881 0.142 0.754
Rh 0.937 0.381 0.252

***

# 6
Density functional theory data (GGA-PBE) for an optimized crystal structure of GdPuCuOs.

## Properties
Density of states at the Fermi level: 10.49 states/eV/cell
Space group: F-43m
DFT total energy: -43.9 eV/f.u.
Energy relative to the elements: -43 meV/atom

Unit cell a=4.869 b=4.869 c=4.869 alpha=60.00 beta=60.00 gamma=60.00
Sites, in units of the cell vectors:
Gd 0.000 0.000 0.000
Pu 0.500 0.500 0.500
Cu 0.250 0.250 0.250
Os 0.750 0.750 0.750

***

# 7
Density functional theory data (GGA-PBE) for an optimized crystal structure of ZrTaMn2.

## Properties
Density of states at the Fermi level: 4.40 states/eV/cell
Space group: P2/m
DFT total energy: -38.0 eV/f.u.
Energy relative to the elements: 174 meV/atom

Unit cell a=2.893 b=4.014 c=5.511 alpha=90.00 beta=99.85 gamma=90.00
Sites, in units of the cell vectors:
Zr 0.000 0.000 0.000
Ta 0.500 0.000 0.500
Mn 0.238 0.500 0.711
Mn 0.762 0.500 0.289

***

# 8
Density functional theory data (GGA-PBE) for an optimized crystal structure of CaMoPd.

## Properties
E above lowest polymorph: 87 meV/atom
Density of states at the Fermi level: 4.14 states/eV/cell
Space group: Amm2
DFT total energy: -18.1 eV/f.u.
Energy relative to the elements: -13 meV/atom

Unit cell a=3.940 b=9.988 c=9.988 alpha=18.36 beta=90.00 gamma=90.00
Sites, in units of the cell vectors:
Ca 0.000 0.000 0.000
Ca 0.000 0.177 0.177
Mo 0.000 0.844 0.844
Mo 0.500 0.372 0.372
Pd 0.500 0.589 0.589
Pd 0.500 0.749 0.749